# meta-GGA SCAN Li2CoSiO4, PBEsol geometry
data_Li2CoSiO4
_space_group_name_H-M_alt 'C 1 2/m 1'
_space_group_IT_number 12
_space_group_name_Hall '-C 2y'
_cell_length_a 7.2060
_cell_length_b 7.5960
_cell_length_c 6.1890
_cell_angle_alpha 90.00
_cell_angle_beta 91.45
_cell_angle_gamma 90.00
loop_
_atom_site_label
_atom_site_fract_x
_atom_site_fract_y
_atom_site_fract_z
_atom_site_occupancy
Li1 0.0000 0.1764 0.0000 1
Li2 0.1849 0.5000 0.7615 1
Co1 0.0000 0.1886 0.5000 1
Si1 0.1790 0.5000 0.2460 1
O1 0.0364 0.3296 0.2517 1
O2 0.1915 0.0000 0.5249 1
O3 0.1938 0.0000 0.9636 1
# Formation energy (no corrections) ... -2.353 eV per atom
# Crystal system ... monoclinic
# DOS at the Fermi energy ... 0.000 states/eV per cell

***

# meta-GGA SCAN P2PtAuCl, PBEsol geometry
data_P2PtAuCl
_space_group_name_H-M_alt 'P 4/m m m'
_space_group_IT_number 123
_space_group_name_Hall '-P 4 2'
_cell_length_a 4.7389
_cell_length_b 4.7389
_cell_length_c 4.6381
_cell_angle_alpha 90.00
_cell_angle_beta 90.00
_cell_angle_gamma 90.00
loop_
_atom_site_label
_atom_site_fract_x
_atom_site_fract_y
_atom_site_fract_z
_atom_site_occupancy
P1 0.0000 0.5000 0.0000 1
Pt1 0.0000 0.0000 0.5000 1
Au1 0.5000 0.5000 0.0000 1
Cl1 0.5000 0.5000 0.5000 1
# Formation energy (no corrections) ... 1.306 eV per atom
# Crystal system ... tetragonal
# DOS at the Fermi energy ... 3.584 states/eV per cell

***

# meta-GGA SCAN ZrCoIr3, PBEsol geometry
data_ZrCoIr3
_space_group_name_H-M_alt 'P m -3 m'
_space_group_IT_number 221
_space_group_name_Hall '-P 4 2 3'
_cell_length_a 4.7318
_cell_length_b 4.7318
_cell_length_c 4.7318
_cell_angle_alpha 90.00
_cell_angle_beta 90.00
_cell_angle_gamma 90.00
loop_
_atom_site_label
_atom_site_fract_x
_atom_site_fract_y
_atom_site_fract_z
_atom_site_occupancy
Zr1 0.0000 0.0000 0.0000 1
Co1 0.5000 0.5000 0.5000 1
Ir1 0.0000 0.0000 0.5000 1
# Formation energy ... 1.95 eV per atom
# Crystal system ... cubic
# DOS at the Fermi energy ... 4.886 states/eV per cell

***

# meta-GGA SCAN ReOsAu2, PBEsol geometry
data_ReOsAu2
_space_group_name_H-M_alt 'P 4/m m m'
_space_group_IT_number 123
_space_group_name_Hall '-P 4 2'
_cell_length_a 4.5273
_cell_length_b 4.5273
_cell_length_c 3.0066
_cell_angle_alpha 90.00
_cell_angle_beta 90.00
_cell_angle_gamma 90.00
loop_
_atom_site_label
_atom_site_fract_x
_atom_site_fract_y
_atom_site_fract_z
_atom_site_occupancy
Re1 0.0000 0.0000 0.0000 1
Os1 0.5000 0.5000 0.0000 1
Au1 0.0000 0.5000 0.5000 1
# Formation energy ... 0.91 eV per atom
# Crystal system ... tetragonal
# DOS at the Fermi energy ... 2.306 states/eV per cell

***

# meta-GGA SCAN AgTe3Pd, PBEsol geometry
data_AgTe3Pd
_space_group_name_H-M_alt 'P m -3 m'
_space_group_IT_number 221
_space_group_name_Hall '-P 4 2 3'
_cell_length_a 5.2181
_cell_length_b 5.2181
_cell_length_c 5.2181
_cell_angle_alpha 90.00
_cell_angle_beta 90.00
_cell_angle_gamma 90.00
loop_
_atom_site_label
_atom_site_fract_x
_atom_site_fract_y
_atom_site_fract_z
_atom_site_occupancy
Ag1 0.0000 0.0000 0.0000 1
Te1 0.0000 0.5000 0.5000 1
Pd1 0.5000 0.5000 0.5000 1
# Formation energy (no corrections) ... 0.424 eV per atom
# Crystal system ... cubic
# DOS at the Fermi energy ... 4.299 states/eV per cell

***

# meta-GGA SCAN Cu3PSe4, PBEsol geometry
data_Cu3PSe4
_space_group_name_H-M_alt 'P m n 21'
_space_group_IT_number 31
_space_group_name_Hall 'P 2ac -2'
_cell_length_a 7.6195
_cell_length_b 6.6133
_cell_length_c 6.3301
_cell_angle_alpha 90.00
_cell_angle_beta 90.00
_cell_angle_gamma 90.00
loop_
_atom_site_label
_atom_site_fract_x
_atom_site_fract_y
_atom_site_fract_z
_atom_site_occupancy
Cu1 0.0000 0.1539 0.0000 1
Cu2 0.2462 0.3238 0.4878 1
P1 0.0000 0.8281 0.4979 1
Se1 0.0000 0.1493 0.6240 1
Se2 0.0000 0.8209 0.1372 1
Se3 0.2455 0.6621 0.6160 1
# Formation energy (no corrections) ... -0.178 eV per atom
# Crystal system ... orthorhombic

***

# meta-GGA SCAN MgBHO3, PBEsol geometry
data_MgBHO3
_space_group_name_H-M_alt 'P 1 21/c 1'
_space_group_IT_number 14
_space_group_name_Hall '-P 2ybc'
_cell_length_a 3.1189
_cell_length_b 10.3773
_cell_length_c 12.6026
_cell_angle_alpha 90.00
_cell_angle_beta 96.00
_cell_angle_gamma 90.00
loop_
_atom_site_label
_atom_site_fract_x
_atom_site_fract_y
_atom_site_fract_z
_atom_site_occupancy
Mg1 0.2048 0.0792 0.4114 1
Mg2 0.2621 0.6364 0.4955 1
B1 0.1280 0.0472 0.8070 1
B2 0.2655 0.1684 0.6388 1
H1 0.1924 0.1204 0.1915 1
H2 0.3826 0.7465 0.1622 1
O1 0.1059 0.0508 0.2465 1
O2 0.2200 0.0435 0.9153 1
O3 0.2393 0.1545 0.7493 1
O4 0.2765 0.2065 0.1027 1
O5 0.2800 0.0625 0.5759 1
O6 0.2985 0.7067 0.0920 1
# Crystal system ... monoclinic
# DOS at the Fermi energy ... 0.000 states/eV per cell
# E ... -8.2191 eV per atom

***

# meta-GGA SCAN ScIn2Au, PBEsol geometry
data_ScIn2Au
_space_group_name_H-M_alt 'F -4 3 m'
_space_group_IT_number 216
_space_group_name_Hall 'F -4 2 3'
_cell_length_a 6.8833
_cell_length_b 6.8833
_cell_length_c 6.8833
_cell_angle_alpha 90.00
_cell_angle_beta 90.00
_cell_angle_gamma 90.00
loop_
_atom_site_label
_atom_site_fract_x
_atom_site_fract_y
_atom_site_fract_z
_atom_site_occupancy
Sc1 0.0000 0.0000 0.0000 1
In1 0.0000 0.0000 0.5000 1
In2 0.2500 0.2500 0.2500 1
Au1 0.2500 0.2500 0.7500 1
# Formation energy ... -0.42 eV per atom
# Crystal system ... cubic
# DOS at the Fermi energy ... 3.805 states/eV per cell

***

# meta-GGA SCAN LaCuTe2N, PBEsol geometry
data_LaCuTe2N
_space_group_name_H-M_alt 'P 4/m m m'
_space_group_IT_number 123
_space_group_name_Hall '-P 4 2'
_cell_length_a 6.2746
_cell_length_b 6.2746
_cell_length_c 3.9740
_cell_angle_alpha 90.00
_cell_angle_beta 90.00
_cell_angle_gamma 90.00
loop_
_atom_site_label
_atom_site_fract_x
_atom_site_fract_y
_atom_site_fract_z
_atom_site_occupancy
La1 0.0000 0.0000 0.0000 1
Cu1 0.5000 0.5000 0.5000 1
Te1 0.0000 0.5000 0.0000 1
N1 0.0000 0.0000 0.5000 1
# Formation energy (no corrections) ... 0.555 eV per atom
# Crystal system ... tetragonal
# DOS at the Fermi energy ... 3.759 states/eV per cell

***

# meta-GGA SCAN AlS2NF, PBEsol geometry
data_AlS2NF
_space_group_name_H-M_alt 'P 4/m m m'
_space_group_IT_number 123
_space_group_name_Hall '-P 4 2'
_cell_length_a 4.5670
_cell_length_b 4.5670
_cell_length_c 3.6140
_cell_angle_alpha 90.00
_cell_angle_beta 90.00
_cell_angle_gamma 90.00
loop_
_atom_site_label
_atom_site_fract_x
_atom_site_fract_y
_atom_site_fract_z
_atom_site_occupancy
Al1 0.0000 0.0000 0.0000 1
S1 0.0000 0.5000 0.0000 1
N1 0.0000 0.0000 0.5000 1
F1 0.5000 0.5000 0.5000 1
# Formation energy (no corrections) ... 0.375 eV per atom
# Crystal system ... tetragonal
# DOS at the Fermi energy ... 1.732 states/eV per cell

***

# meta-GGA SCAN Ba2AgMo, PBEsol geometry
data_Ba2AgMo
_space_group_name_H-M_alt 'P 4/m m m'
_space_group_IT_number 123
_space_group_name_Hall '-P 4 2'
_cell_length_a 3.8618
_cell_length_b 3.8618
_cell_length_c 8.1773
_cell_angle_alpha 90.00
_cell_angle_beta 90.00
_cell_angle_gamma 90.00
loop_
_atom_site_label
_atom_site_fract_x
_atom_site_fract_y
_atom_site_fract_z
_atom_site_occupancy
Ba1 0.0000 0.0000 0.2478 1
Ag1 0.5000 0.5000 0.5000 1
Mo1 0.5000 0.5000 0.0000 1
# Formation energy ... 0.67 eV per atom
# Crystal system ... tetragonal
# DOS at the Fermi energy ... 1.950 states/eV per cell

***

# meta-GGA SCAN Zr2MnFe, PBEsol geometry
data_Zr2MnFe
_space_group_name_H-M_alt 'F m -3 m'
_space_group_IT_number 225
_space_group_name_Hall '-F 4 2 3'
_cell_length_a 6.2548
_cell_length_b 6.2548
_cell_length_c 6.2548
_cell_angle_alpha 90.00
_cell_angle_beta 90.00
_cell_angle_gamma 90.00
loop_
_atom_site_label
_atom_site_fract_x
_atom_site_fract_y
_atom_site_fract_z
_atom_site_occupancy
Zr1 0.2500 0.2500 0.2500 1
Mn1 0.0000 0.0000 0.0000 1
Fe1 0.0000 0.0000 0.5000 1
# Formation energy ... -0.11 eV per atom
# Crystal system ... cubic
# DOS at the Fermi energy ... 7.652 states/eV per cell